# Ho3Ge13Rh4 (GGA-PBEsol, optimized geometry)
data_Ho3Ge13Rh4
_cell_length_a 8.870
_cell_length_b 8.870
_cell_length_c 8.870
_cell_angle_alpha 90.00
_cell_angle_beta 90.00
_cell_angle_gamma 90.00
_space_group_name_H-M_alt 'P m -3 n'
_space_group_IT_number 223
_space_group_name_Hall '-P 4n 2 3'
loop_
_atom_site_label
_atom_site_type_symbol
_atom_site_fract_x
_atom_site_fract_y
_atom_site_fract_z
Ho1 Ho 0.000 0.250 0.500
Ge1 Ge 0.000 0.000 0.000
Ge2 Ge 0.000 0.310 0.147
Rh1 Rh 0.250 0.250 0.250
# E = -0.2271 Ha/atom
# ΔE_f = -11.99 eV/f.u.

---

# BaPt (GGA-PBEsol, optimized geometry)
data_BaPt
_cell_length_a 4.4991
_cell_length_b 4.4991
_cell_length_c 24.8417
_cell_angle_alpha 90.00
_cell_angle_beta 90.00
_cell_angle_gamma 120.00
_space_group_name_H-M_alt 'R -3 m'
_space_group_IT_number 166
_space_group_name_Hall '-R 3 2"'
loop_
_atom_site_label
_atom_site_type_symbol
_atom_site_fract_x
_atom_site_fract_y
_atom_site_fract_z
Ba1 Ba 0.0000 0.0000 0.0823
Pt1 Pt 0.0000 0.0000 0.3332
# E = -0.1891 Ha/atom
# ΔE_f = -1.18 eV/f.u.

---

# Nb2PbO6 (GGA-PBEsol, optimized geometry)
data_Nb2PbO6
_cell_length_a 12.841
_cell_length_b 3.915
_cell_length_c 12.872
_cell_angle_alpha 90.00
_cell_angle_beta 91.54
_cell_angle_gamma 90.00
_space_group_name_H-M_alt 'P 1 m 1'
_space_group_IT_number 6
loop_
_space_group_symop_operation_xyz
'x,y,z'
'x,-y,z'
loop_
_atom_site_label
_atom_site_type_symbol
_atom_site_fract_x
_atom_site_fract_y
_atom_site_fract_z
Nb1 Nb 0.000 0.000 0.000
Nb2 Nb 0.060 0.000 0.293
Nb3 Nb 0.198 0.000 0.573
Nb4 Nb 0.280 0.000 0.082
Nb5 Nb 0.415 0.000 0.784
Nb6 Nb 0.495 0.000 0.500
Nb7 Nb 0.567 0.000 0.215
Nb8 Nb 0.710 0.000 0.930
Nb9 Nb 0.788 0.000 0.435
Nb10 Nb 0.914 0.000 0.707
Pb1 Pb 0.112 0.500 0.814
Pb2 Pb 0.275 0.500 0.372
Pb3 Pb 0.485 0.500 0.003
Pb4 Pb 0.627 0.500 0.721
Pb5 Pb 0.797 0.500 0.214
O1 O 0.009 0.000 0.146
O2 O 0.011 0.000 0.836
O3 O 0.016 0.500 0.977
O4 O 0.076 0.000 0.642
O5 O 0.087 0.500 0.291
O6 O 0.152 0.000 0.421
O7 O 0.163 0.000 0.992
O8 O 0.215 0.500 0.554
O9 O 0.221 0.000 0.212
O10 O 0.289 0.000 0.704
O11 O 0.311 0.500 0.070
O12 O 0.346 0.000 0.486
O13 O 0.371 0.000 0.922
O14 O 0.444 0.500 0.783
O15 O 0.445 0.000 0.123
O16 O 0.499 0.000 0.337
O17 O 0.505 0.500 0.492
O18 O 0.507 0.000 0.650
O19 O 0.578 0.000 0.840
O20 O 0.594 0.500 0.195
O21 O 0.647 0.000 0.058
O22 O 0.658 0.000 0.493
O23 O 0.710 0.500 0.904
O24 O 0.718 0.000 0.276
O25 O 0.786 0.000 0.771
O26 O 0.794 0.500 0.400
O27 O 0.852 0.000 0.990
O28 O 0.867 0.000 0.561
O29 O 0.926 0.000 0.341
O30 O 0.942 0.500 0.712
# distance to the lowest polymorph of the same formula = 0.008 eV/atom
# E = -0.3163 Ha/atom
# formation energy from raw total energies = -2257 meV/atom

---

# BSeS3 (GGA-PBEsol, optimized geometry)
data_BSeS3
_cell_length_a 4.153
_cell_length_b 4.153
_cell_length_c 4.153
_cell_angle_alpha 90.00
_cell_angle_beta 90.00
_cell_angle_gamma 90.00
_space_group_name_H-M_alt 'P m -3 m'
_space_group_IT_number 221
_space_group_name_Hall '-P 4 2 3'
loop_
_atom_site_label
_atom_site_type_symbol
_atom_site_fract_x
_atom_site_fract_y
_atom_site_fract_z
B1 B 0.000 0.000 0.000
Se1 Se 0.500 0.500 0.500
S1 S 0.000 0.000 0.500
# distance to the lowest polymorph of the same formula = 0.000 eV/atom
# E = -0.1523 Ha/atom
# formation energy from raw total energies = 660 meV/atom

---

# La5Hg3 (GGA-PBEsol, optimized geometry)
data_La5Hg3
_cell_length_a 9.2035
_cell_length_b 9.2035
_cell_length_c 6.6856
_cell_angle_alpha 90.00
_cell_angle_beta 90.00
_cell_angle_gamma 120.00
_space_group_name_H-M_alt 'P 63/m c m'
_space_group_IT_number 193
_space_group_name_Hall '-P 6c 2'
loop_
_atom_site_label
_atom_site_type_symbol
_atom_site_fract_x
_atom_site_fract_y
_atom_site_fract_z
La1 La 0.0000 0.2399 0.2500
La2 La 0.3333 0.6667 0.0000
Hg1 Hg 0.0000 0.4004 0.7500
# distance to the lowest polymorph of the same formula = 0.025 eV/atom
# E = -0.1445 Ha/atom
# ΔE_f = -3.03 eV/f.u.

---

# HgAs2 (GGA-PBEsol, optimized geometry)
data_HgAs2
_cell_length_a 3.7191
_cell_length_b 3.7191
_cell_length_c 5.5732
_cell_angle_alpha 90.00
_cell_angle_beta 90.00
_cell_angle_gamma 120.00
_space_group_name_H-M_alt 'P -3 m 1'
_space_group_IT_number 164
_space_group_name_Hall '-P 3 2"'
loop_
_atom_site_label
_atom_site_type_symbol
_atom_site_fract_x
_atom_site_fract_y
_atom_site_fract_z
Hg1 Hg 0.0000 0.0000 0.0000
As1 As 0.3333 0.6667 0.3758
# E = -0.1298 Ha/atom
# ΔE_f = 0.19 eV/f.u.

---

Among the records above, which one has the highest E? HgAs2

---

E of number 4 (BSeS3)? -0.1523 Ha/atom

---

Which formula does entry 6 have? HgAs2

---

Look up the E of the second one. -0.1891 Ha/atom